# 1
BaTi2InFe, optimized geometry, DFT GGA-PBE; SG = P4/mmm; crystal system = tetragonal; energy = -3.3655 eV per atom
1.0
4.979 0.000 0.000
0.000 4.979 0.000
0.000 0.000 5.755
Ba Ti In Fe
1 2 1 1
direct
0.000 0.000 0.000
0.000 0.500 0.000
0.500 0.000 0.000
0.000 0.000 0.500
0.500 0.500 0.500

---

# 2
RePPt2, optimized geometry, DFT GGA-PBE; SG = Cmm2; crystal system = orthorhombic; ΔE to the lowest computed polymorph = 311.9 meV/atom
1.0
1.456 -2.443 0.000
1.456 2.443 0.000
0.000 0.000 8.556
Re P Pt
1 1 2
direct
0.000 0.000 0.000
0.500 0.500 0.213
0.000 0.000 0.442
0.500 0.500 0.725

---

# 3
Tb2Y3Mg, optimized geometry, DFT GGA-PBE; SG = C2/c; crystal system = monoclinic; ΔE to the lowest computed polymorph = 43.5 meV/atom
1.0
8.624 -3.490 0.000
8.624 3.490 0.000
-0.136 0.000 6.162
Tb Y Mg
4 6 2
direct
0.044 0.289 0.083
0.289 0.044 0.583
0.711 0.956 0.417
0.956 0.711 0.917
0.132 0.868 0.250
0.209 0.459 0.423
0.459 0.209 0.923
0.541 0.791 0.077
0.791 0.541 0.577
0.868 0.132 0.750
0.370 0.630 0.750
0.630 0.370 0.250